A plane-wave DFT calculation with meta-GGA SCAN was carried out for a crystal of Ga3NiRh relaxed with PBEsol.

## Properties
final energy: -19.47 eV/atom
mass density: 6.24 g/cm³
formation energy: 0.3262 eV per atom
total magnetization: 0.8 Bohr magnetons per cell
calculated volume: 19.73 Å³ per atom

Lattice parameters (Å, degrees): 4.621 4.621 4.621 90.00 90.00 90.00
Site moments in Bohr magnetons follow the coordinates.
Fractional positions:
Ni: 0.500 0.500 0.500  0.81
Ga: 0.000 0.500 0.000  0.01
Ga: 0.000 0.000 0.500  0.01
Rh: 0.000 0.000 0.000  0.00
Ga: 0.500 0.000 0.000  0.01

---

A plane-wave DFT calculation with meta-GGA SCAN was carried out for a crystal of Mg4AlW relaxed with PBEsol.

## Properties
final energy: -15.53 eV/atom
mass density: 4.55 g/cm³
formation energy: 0.6956 eV per atom
total magnetization: 3.0 Bohr magnetons per cell
calculated volume: 18.73 Å³ per atom

Lattice parameters (Å, degrees): 5.417 5.417 5.417 60.00 60.00 60.00
Site moments in Bohr magnetons follow the coordinates.
Fractional positions:
Mg: 0.376 0.376 0.376  0.01
Mg: 0.376 0.873 0.376  0.01
Mg: 0.873 0.376 0.376  0.01
W: 0.750 0.750 0.750  1.92
Mg: 0.376 0.376 0.873  0.01
Al: 0.000 0.000 0.000  0.00

---

A plane-wave DFT calculation with meta-GGA SCAN was carried out for a crystal of ZrCd2Si relaxed with PBEsol.

## Properties
final energy: -25.47 eV/atom
mass density: 7.39 g/cm³
E_form (uncorrected): -0.080 eV/atom
total magnetization: 0.0 Bohr magnetons per cell
calculated volume: 19.34 Å³ per atom

Lattice parameters (Å, degrees): 2.962 4.908 6.029 113.58 103.53 91.63
Fractional positions:
Cd: 0.000 0.000 0.500
Zr: 0.000 0.500 0.000
Si: 0.500 0.000 0.000
Cd: 0.500 0.500 0.500

---

A plane-wave DFT calculation with meta-GGA SCAN was carried out for a crystal of CrCoRe2 relaxed with PBEsol.

## Properties
final energy: -44.47 eV/atom
mass density: 15.34 g/cm³
formation energy: 0.0034 eV per atom
total magnetization: 4.4 Bohr magnetons per cell
energy above the lowest structure with this stoichiometry: 0.00 eV/f.u.
calculated volume: 13.08 Å³ per atom

Lattice parameters (Å, degrees): 4.198 4.198 4.198 60.00 60.00 60.00
Site moments in Bohr magnetons follow the coordinates.
Fractional positions:
Co: 0.500 0.500 0.500  1.86
Re: 0.000 0.000 0.000  -0.39
Re: 0.250 0.250 0.250  0.44
Cr: 0.750 0.750 0.750  2.43

---

In order of appearance, D(E_F) = 1.343 0.518 0.324 0.569 states/eV per atom.